ScBeN: relaxed, GGA-PBE.

POSCAR file:
```
ScBeN
1.0
3.1019 0.0197 0.0000
-0.0132 3.1020 0.0000
0.0000 0.0000 7.4374
N Sc Be
2 2 2
Direct
0.2593 0.7593 0.8506
0.7593 0.2593 0.1494
0.2610 0.7610 0.1512
0.7610 0.2610 0.8488
0.9891 0.9891 0.5000
0.4891 0.4891 0.5000
```

Calculated values
Space-group type ... Aem2 (39)
Electronic total energy ... -20.557 eV/f.u.

=====

ScBeSeN2: relaxed, GGA-PBE.

POSCAR file:
```
ScBeSeN2
1.0
-2.1671 -0.3563 -2.8659
-0.2381 -3.5488 0.6212
-3.9076 0.7628 2.8600
Sc Be Se N
1 1 1 2
Direct
0.5000 0.5000 0.5000
0.0000 0.0000 0.0000
0.0000 0.0000 0.5000
0.0000 0.5000 0.0000
0.5000 0.0000 0.0000
```

Calculated values
Space-group type ... P4/mmm (123)
Electronic total energy ... -28.653 eV/f.u.

=====

ScBeSeN2: relaxed, GGA-PBE.

POSCAR file:
```
ScBeSeN2
1.0
-0.7289 3.7004 -1.1793
-1.9271 -1.3863 -3.1590
-4.9129 -0.0110 3.0018
Sc Be Se N
1 1 1 2
Direct
0.0000 0.0000 0.0000
0.5000 0.5000 0.5000
0.0000 0.0000 0.5000
0.0000 0.5000 0.0000
0.5000 0.0000 0.0000
```

Calculated values
Space-group type ... P4/mmm (123)
Electronic total energy ... -25.764 eV/f.u.